1.
DFT (PBE) results for an optimized crystal structure of Ag2PtPb.

The structure in POSCAR format:
```
Ag2PtPb
1.0
5.111 0.049 -0.001
1.330 4.935 0.001
-3.220 -2.492 3.089
Pb Ag Pt
1 2 1
direct
0.500 0.500 0.000 Pb
0.000 0.000 0.000 Ag
0.750 0.250 0.500 Ag
0.250 0.750 0.500 Pt
```

## Properties
DOS(E_F)	1.5	states/eV/cell
energy of formation from the pure elements	0.1	eV per formula unit

2.
DFT (PBE) results for an optimized crystal structure of K2GeBSe4.

The structure in POSCAR format:
```
K2GeBSe4
1.0
6.112 0.000 0.000
3.056 6.963 0.000
3.056 0.000 11.298
K Ge B Se
4 2 2 8
direct
0.183 0.000 0.634 K
0.817 0.000 0.366 K
0.567 0.500 0.866 K
0.933 0.500 0.134 K
0.250 0.500 0.500 Ge
0.500 0.000 0.000 Ge
0.750 0.500 0.500 B
0.000 0.000 0.000 B
0.234 0.823 0.106 Se
0.163 0.177 0.894 Se
0.944 0.823 0.894 Se
0.660 0.177 0.106 Se
0.516 0.677 0.394 Se
0.587 0.323 0.606 Se
0.806 0.677 0.606 Se
0.090 0.323 0.394 Se
```

## Properties
DOS(E_F)	9.8	states/eV/cell
raw formation energy	-588	meV per atom